1.
## GaPdO2 (PBE)

Data for GaPdO2 after structural relaxation.

Geometry as POSCAR:
```
GaPdO2
1.0
4.5745 -4.4727 0.0000
4.5745 4.4727 0.0000
-0.4662 0.0000 10.9668
Ga Pd O
8 8 16
Direct
0.0919 0.3225 0.9339
0.1485 0.7424 0.6117
0.2576 0.8515 0.8883
0.3225 0.0919 0.4339
0.6775 0.9081 0.5661
0.7424 0.1485 0.1117
0.8515 0.2576 0.3883
0.9081 0.6775 0.0661
0.0388 0.2395 0.7093
0.2395 0.0388 0.2093
0.3188 0.4099 0.2889
0.4099 0.3188 0.7889
0.5901 0.6812 0.2111
0.6812 0.5901 0.7111
0.7605 0.9612 0.7907
0.9612 0.7605 0.2907
0.0254 0.4741 0.3295
0.0728 0.9272 0.7500
0.0791 0.2002 0.5024
0.1586 0.6195 0.9764
0.2002 0.0791 0.0024
0.3741 0.6259 0.7500
0.3805 0.8414 0.5236
0.4741 0.0254 0.8295
0.5259 0.9746 0.1705
0.6195 0.1586 0.4764
0.6259 0.3741 0.2500
0.7998 0.9209 0.9976
0.8414 0.3805 0.0236
0.9209 0.7998 0.4976
0.9272 0.0728 0.2500
0.9746 0.5259 0.6705
```

Values from the calculation:
The calculation puts the uncorrected formation energy at -0.937 eV/atom. Its mass density is 6.16 g cm⁻³.

2.
## GaPdO2 (PBE)

Data for GaPdO2 after structural relaxation.

Geometry as POSCAR:
```
GaPdO2
1.0
4.3612 0.0000 0.0000
0.0000 4.3612 0.0000
0.0000 0.0000 9.6682
Ga Pd O
4 4 8
Direct
0.0000 0.2500 0.3750
0.0000 0.7500 0.6250
0.5000 0.2500 0.1250
0.5000 0.7500 0.8750
0.0000 0.2500 0.8750
0.0000 0.7500 0.1250
0.5000 0.2500 0.6250
0.5000 0.7500 0.3750
0.0000 0.2500 0.1707
0.0000 0.2500 0.5793
0.0000 0.7500 0.4207
0.0000 0.7500 0.8293
0.5000 0.2500 0.3293
0.5000 0.2500 0.9207
0.5000 0.7500 0.0793
0.5000 0.7500 0.6707
```

Values from the calculation:
The calculation puts the uncorrected formation energy at -0.766 eV/atom. Its mass density is 7.52 g cm⁻³.

3.
## Ga3PdO (PBE)

Data for Ga3PdO after structural relaxation.

Geometry as POSCAR:
```
Ga3PdO
1.0
4.7410 0.0000 0.0000
0.0000 4.7410 0.0000
0.0000 0.0000 4.7410
Ga Pd O
3 1 1
Direct
0.0000 0.0000 0.5000
0.0000 0.5000 0.0000
0.5000 0.0000 0.0000
0.0000 0.0000 0.0000
0.5000 0.5000 0.5000
```

Values from the calculation:
The calculation puts the uncorrected formation energy at 0.069 eV/atom. Its mass density is 5.17 g cm⁻³. Its energy above the most stable polymorph in this dataset is 0.312 eV per atom.

4.
## PmGa2PdO6 (PBE)

Data for PmGa2PdO6 after structural relaxation.

Geometry as POSCAR:
```
PmGa2PdO6
1.0
5.6406 -4.1557 0.0000
5.6406 4.1557 0.0000
-2.5553 0.0000 5.7530
Pm Ga Pd O
2 4 2 12
Direct
0.1613 0.8387 0.7500
0.8387 0.1613 0.2500
0.2219 0.3524 0.8067
0.3524 0.2219 0.3067
0.6476 0.7781 0.6933
0.7781 0.6476 0.1933
0.2542 0.7458 0.2500
0.7458 0.2542 0.7500
0.0238 0.1865 0.6575
0.1015 0.6254 0.9257
0.1865 0.0238 0.1575
0.2814 0.4179 0.5680
0.3746 0.8985 0.5743
0.4179 0.2814 0.0680
0.5821 0.7186 0.9320
0.6254 0.1015 0.4257
0.7186 0.5821 0.4320
0.8135 0.9762 0.8425
0.8985 0.3746 0.0743
0.9762 0.8135 0.3425
```

Values from the calculation:
The calculation puts the uncorrected formation energy at -1.707 eV/atom. Its mass density is 6.00 g cm⁻³.

5.
## Pm2GaPdO6 (PBE)

Data for Pm2GaPdO6 after structural relaxation.

Geometry as POSCAR:
```
Pm2GaPdO6
1.0
5.0185 -2.7277 0.0000
5.0185 2.7277 0.0000
-3.0275 0.0000 4.6184
Pm Ga Pd O
2 1 1 6
Direct
0.2493 0.2493 0.2709
0.7507 0.7507 0.7291
0.0098 0.9902 0.5000
0.5090 0.4910 0.0000
0.1858 0.6740 0.6810
0.2578 0.1931 0.8338
0.3260 0.8142 0.3190
0.6890 0.1711 0.6720
0.8069 0.7422 0.1662
0.8289 0.3110 0.3280
```

Values from the calculation:
The calculation puts the uncorrected formation energy at -2.212 eV/atom. Its mass density is 7.38 g cm⁻³.

6.
## PmGaPdO4 (PBE)

Data for PmGaPdO4 after structural relaxation.

Geometry as POSCAR:
```
PmGaPdO4
1.0
3.0585 -4.5252 0.0000
3.0585 4.5252 0.0000
0.0000 0.0000 7.1800
Pm Ga Pd O
2 2 2 8
Direct
0.0000 0.0000 0.0000
0.0000 0.0000 0.5000
0.3689 0.6311 0.7500
0.6311 0.3689 0.2500
0.2970 0.7030 0.2500
0.7030 0.2970 0.7500
0.2465 0.2600 0.7500
0.2593 0.7407 0.5311
0.2593 0.7407 0.9689
0.2600 0.2465 0.2500
0.7400 0.7535 0.7500
0.7407 0.2593 0.0311
0.7407 0.2593 0.4689
0.7535 0.7400 0.2500
```

Values from the calculation:
The calculation puts the uncorrected formation energy at -1.766 eV/atom. Its mass density is 6.44 g cm⁻³.

7.
## GaPdPtO6 (PBE)

Data for GaPdPtO6 after structural relaxation.

Geometry as POSCAR:
```
GaPdPtO6
1.0
5.1184 0.0000 0.0000
-2.5592 4.4327 0.0000
0.0000 0.0000 8.5493
Ga Pd Pt O
2 2 2 12
Direct
0.3333 0.6667 0.2500
0.6667 0.3333 0.7500
0.0000 0.0000 0.0000
0.0000 0.0000 0.5000
0.3333 0.6667 0.7500
0.6667 0.3333 0.2500
0.0034 0.3492 0.1243
0.0034 0.6542 0.3757
0.3458 0.3492 0.3757
0.3458 0.9966 0.1243
0.3492 0.0034 0.6243
0.3492 0.3458 0.8757
0.6508 0.6542 0.1243
0.6508 0.9966 0.3757
0.6542 0.0034 0.8757
0.6542 0.6508 0.6243
0.9966 0.3458 0.6243
0.9966 0.6508 0.8757
```

Values from the calculation:
The calculation puts the uncorrected formation energy at -0.662 eV/atom. Its mass density is 8.00 g cm⁻³.

8.
## GaPdPtO4 (PBE)

Data for GaPdPtO4 after structural relaxation.

Geometry as POSCAR:
```
GaPdPtO4
1.0
-3.0339 3.3254 4.2095
3.0339 -3.3254 4.2095
3.0339 3.3254 -4.2095
Ga Pd Pt O
2 2 2 8
Direct
0.5000 0.0000 0.0000
0.5000 0.5000 0.5000
0.0648 0.3148 0.7500
0.9352 0.6852 0.2500
0.0000 0.0000 0.0000
0.5000 0.0000 0.5000
0.2606 0.2248 0.4642
0.2606 0.7963 0.0358
0.2942 0.2432 0.0510
0.3079 0.7568 0.5510
0.6921 0.2432 0.4490
0.7058 0.7568 0.9490
0.7394 0.2037 0.9642
0.7394 0.7752 0.5358
```

Values from the calculation:
The calculation puts the uncorrected formation energy at -0.740 eV/atom. Its mass density is 8.51 g cm⁻³.

9.
## PuGa2PdO8 (PBE)

Data for PuGa2PdO8 after structural relaxation.

Geometry as POSCAR:
```
PuGa2PdO8
1.0
-3.3153 3.3153 3.4234
3.3153 -3.3153 3.4234
3.3153 3.3153 -3.4234
Pu Ga Pd O
1 2 1 8
Direct
0.0000 0.0000 0.0000
0.2500 0.7500 0.5000
0.5000 0.5000 0.0000
0.7500 0.2500 0.5000
0.0656 0.3654 0.2997
0.0656 0.7659 0.7003
0.1014 0.2922 0.8092
0.2341 0.9344 0.2997
0.4830 0.2922 0.1908
0.6346 0.9344 0.7003
0.7078 0.5170 0.8092
0.7078 0.8986 0.1908
```

Values from the calculation:
The calculation puts the uncorrected formation energy at -1.316 eV/atom. Its mass density is 6.82 g cm⁻³.

10.
## GaPd2RuO (PBE)

Data for GaPd2RuO after structural relaxation.

Geometry as POSCAR:
```
GaPd2RuO
1.0
5.0346 0.0000 0.0000
0.0000 5.0346 0.0000
0.0000 0.0000 3.6137
Ga Pd Ru O
1 2 1 1
Direct
0.0000 0.0000 0.0000
0.0000 0.5000 0.5000
0.5000 0.0000 0.5000
0.5000 0.5000 0.5000
0.5000 0.5000 0.0000
```

Values from the calculation:
The calculation puts the uncorrected formation energy at 0.212 eV/atom. Its mass density is 7.24 g cm⁻³.

11.
## Sc4GaPdO (PBE)

Data for Sc4GaPdO after structural relaxation.

Geometry as POSCAR:
```
Sc4GaPdO
1.0
3.0477 -6.9773 0.0000
3.0477 6.9773 0.0000
0.0000 0.0000 6.0772
Sc Ga Pd O
8 2 2 2
Direct
0.0000 0.5000 0.0000
0.0000 0.5000 0.5000
0.0684 0.9316 0.7500
0.4216 0.5784 0.7500
0.5000 0.0000 0.0000
0.5000 0.0000 0.5000
0.5784 0.4216 0.2500
0.9316 0.0684 0.2500
0.3818 0.6182 0.2500
0.6182 0.3818 0.7500
0.1165 0.8835 0.2500
0.8835 0.1165 0.7500
0.2529 0.7471 0.7500
0.7471 0.2529 0.2500
```

Values from the calculation:
The calculation puts the uncorrected formation energy at -1.247 eV/atom. Its mass density is 4.78 g cm⁻³.

12.
## GaSiPd2O (PBE)

Data for GaSiPd2O after structural relaxation.

Geometry as POSCAR:
```
GaSiPd2O
1.0
4.4751 0.0000 0.0000
0.0000 4.4751 0.0000
0.0000 0.0000 4.7486
Ga Si Pd O
1 1 2 1
Direct
0.0000 0.0000 0.0000
0.0000 0.0000 0.5000
0.0000 0.5000 0.5000
0.5000 0.0000 0.5000
0.5000 0.5000 0.0000
```

Values from the calculation:
The calculation puts the uncorrected formation energy at 0.554 eV/atom. Its mass density is 5.70 g cm⁻³.

> Which value of mass density does entry 10 give?

7.24 g cm⁻³